Entry 1:
A plane-wave DFT calculation with PBE-GGA was carried out for a relaxed structure of BaMn3Al.

Geometry as extended XYZ:
```
5
Lattice="5.369 0.000 0.000 0.000 5.369 0.000 0.000 0.000 5.369" Properties=species:S:1:pos:R:3 pbc="T T T"
Ba 0.000 0.000 0.000
Mn 0.000 0.000 2.684
Mn 0.000 2.684 0.000
Mn 2.684 0.000 0.000
Al 2.684 2.684 2.684
```

Calculated values
Spin magnetization: 12.2 μB/f.u.
V: 30.951 Å³ per atom
Polymorph energy (0 for the lowest one): 649 kJ/mol of formula units
Energy relative to the elements: 993 kJ/mol of formula units

---

Entry 2:
A plane-wave DFT calculation with PBE-GGA was carried out for a relaxed structure of BaMn4Al.

Geometry as extended XYZ:
```
6
Lattice="0.000 3.809 3.809 3.809 0.000 3.809 3.809 3.809 0.000" Properties=species:S:1:pos:R:3 pbc="T T T"
Ba 0.000 0.000 0.000
Mn 4.734 2.884 2.884
Mn 2.884 4.734 2.884
Mn 2.884 2.884 4.734
Mn 4.734 4.734 4.734
Al 1.904 1.904 1.904
```

Calculated values
Spin magnetization: 12.7 μB/f.u.
V: 18.420 Å³ per atom
Energy relative to the elements: 348 kJ/mol of formula units